Here is an optimized crystal structure of Na2AgGeI from Alexandria via LeMat-Bulk. Energies are from PBE.

abc: 5.775 5.554 5.775
angles: 90.00 90.00 90.00
Positions (direct):
Ag: 0.000 0.500 0.000
Ge: 0.500 0.500 0.500
I: 0.000 0.000 0.000
Na: 0.000 0.000 0.500
Na: 0.500 0.000 0.000

Results
Formation energy without anion corrections: 0.292 eV/atom
Calculated total energy: -2.04 eV per atom